This record from the Alexandria database describes KInPb2 after structural relaxation. The functional is PBE.

Structure (CIF):
```
data_KInPb2
_symmetry_space_group_name_H-M 'P 1 2/m 1'
_symmetry_Int_Tables_number 10
_cell_length_a 3.640
_cell_length_b 5.373
_cell_length_c 7.176
_cell_angle_alpha 90.00
_cell_angle_beta 101.11
_cell_angle_gamma 90.00
loop_
_symmetry_equiv_pos_as_xyz
'x,y,z'
'-x,-y,-z'
'-x,y,-z'
'x,-y,z'
loop_
_atom_site_label
_atom_site_type_symbol
_atom_site_fract_x
_atom_site_fract_y
_atom_site_fract_z
_atom_site_occupancy
K1 K 0.000 0.000 0.000 1
In1 In 0.500 0.000 0.500 1
Pb1 Pb 0.311 0.500 0.696 1
```

Computed properties:
Total DFT energy (no corrections) (eV/f.u.): -11.5

This record from the Alexandria database describes Tl2Ag2Pd5Au after structural relaxation. The functional is PBE.

Structure (CIF):
```
data_Tl2Ag2Pd5Au
_symmetry_space_group_name_H-M 'P 4/m b m'
_symmetry_Int_Tables_number 127
_symmetry_space_group_name_Hall '-P 4 2ab'
_cell_length_a 9.997
_cell_length_b 9.997
_cell_length_c 3.780
_cell_angle_alpha 90.00
_cell_angle_beta 90.00
_cell_angle_gamma 90.00
loop_
_atom_site_label
_atom_site_type_symbol
_atom_site_fract_x
_atom_site_fract_y
_atom_site_fract_z
_atom_site_occupancy
Tl1 Tl 0.154 0.346 0.000 1
Ag1 Ag 0.151 0.651 0.000 1
Pd1 Pd 0.000 0.500 0.500 1
Pd2 Pd 0.001 0.206 0.500 1
Au1 Au 0.000 0.000 0.000 1
```

Computed properties:
Total DFT energy (no corrections) (eV/f.u.): -39.6

This record from the Alexandria database describes LiPaGaPb after structural relaxation. The functional is PBE.

Structure (CIF):
```
data_LiPaGaPb
_symmetry_space_group_name_H-M 'F -4 3 m'
_symmetry_Int_Tables_number 216
_symmetry_space_group_name_Hall 'F -4 2 3'
_cell_length_a 7.176
_cell_length_b 7.176
_cell_length_c 7.176
_cell_angle_alpha 90.00
_cell_angle_beta 90.00
_cell_angle_gamma 90.00
loop_
_atom_site_label
_atom_site_type_symbol
_atom_site_fract_x
_atom_site_fract_y
_atom_site_fract_z
_atom_site_occupancy
Li1 Li 0.000 0.000 0.000 1
Pa1 Pa 0.000 0.000 0.500 1
Ga1 Ga 0.250 0.250 0.750 1
Pb1 Pb 0.250 0.250 0.250 1
```

Computed properties:
Total DFT energy (no corrections) (eV/f.u.): -18.3